Entry from Alexandria: a geometry-optimized La3Pm3In structure (PBE).

* total energy: -4.66 eV/atom
* energy of formation from the pure elements: -84 kJ/mol of formula units
* M_tot: 0.00 μB/atom

The structure in POSCAR format:
```
La3Pm3In
1.0
5.787 0.000 0.000
0.000 9.644 -0.003
0.000 -4.814 8.352
La Pm In
6 6 2
Cartesian
1.447 1.988 5.257 La
1.447 -1.252 4.013 La
1.447 -0.710 7.438 La
4.340 2.842 3.093 La
4.340 6.082 4.337 La
4.340 5.540 0.912 La
4.340 3.357 6.846 Pm
4.340 -0.567 2.029 Pm
4.340 -2.772 7.825 Pm
1.447 1.473 1.504 Pm
1.447 5.396 6.321 Pm
1.447 7.602 0.524 Pm
4.340 0.009 5.567 In
1.447 4.821 2.783 In
```

=====

Entry from Alexandria: a geometry-optimized LaPdAu11 structure (PBE).

* total energy: -3.80 eV/atom
* energy of formation from the pure elements: -311 kJ/mol of formula units
* M_tot: 0.00 μB/atom

The structure in POSCAR format:
```
LaPdAu11
1.0
5.173 0.098 2.155
2.638 6.701 1.099
-0.045 0.049 7.393
La Pd Au
1 1 11
Cartesian
0.000 0.000 0.000 La
3.905 3.400 1.627 Pd
2.043 1.479 2.429 Au
5.723 5.369 8.218 Au
4.647 5.320 3.514 Au
3.119 1.528 7.133 Au
3.556 4.409 6.356 Au
4.210 2.439 4.292 Au
5.967 2.488 7.360 Au
1.799 4.360 3.287 Au
1.319 3.351 0.549 Au
2.564 0.073 4.774 Au
-0.022 0.024 3.697 Au
```

=====

Entry from Alexandria: a geometry-optimized TmHfCd structure (PBE).

* total energy: -5.21 eV/atom
* energy of formation from the pure elements: -29 kJ/mol of formula units
* M_tot: 0.00 μB/atom

The structure in POSCAR format:
```
TmHfCd
1.0
3.326 0.000 0.000
0.000 3.326 0.000
-1.663 -1.663 6.531
Tm Hf Cd
1 1 1
Cartesian
1.663 1.663 6.500 Tm
0.000 0.000 4.305 Hf
1.663 1.663 2.257 Cd
```

=====

Entry from Alexandria: a geometry-optimized CeTh2Te structure (PBE).

* total energy: -6.40 eV/atom
* M_tot: 0.16 μB/atom
* ΔE_f (raw): -164 kJ/mol of formula units

The structure in POSCAR format:
```
CeTh2Te
1.0
-2.083 -1.323 4.375
-3.467 -2.271 -2.338
2.594 -3.990 0.028
Te Ce Th
1 1 2
Cartesian
-1.041 -0.662 2.187 Te
-1.478 -3.792 1.032 Ce
1.297 -1.995 0.014 Th
-1.734 -1.135 -1.169 Th
```

=====

Entry from Alexandria: a geometry-optimized Ce2AlZn4Cu3 structure (PBE).

* total energy: -3.52 eV/atom
* energy of formation from the pure elements: -212 kJ/mol of formula units
* M_tot: 0.15 μB/atom

The structure in POSCAR format:
```
Ce2AlZn4Cu3
1.0
4.071 0.000 0.000
0.000 4.071 0.000
0.000 0.000 10.948
Ce Al Zn Cu
2 1 4 3
Cartesian
2.035 0.000 2.681 Ce
0.000 2.035 8.267 Ce
2.035 2.035 5.474 Al
2.035 2.035 0.000 Zn
0.000 0.000 0.000 Zn
2.035 0.000 6.989 Zn
0.000 2.035 3.959 Zn
0.000 0.000 5.474 Cu
2.035 0.000 9.447 Cu
0.000 2.035 1.501 Cu
```

=====

Entry from Alexandria: a geometry-optimized LaCoTe2 structure (PBE).

* total energy: -4.95 eV/atom
* M_tot: 0.47 μB/atom
* ΔE_f (raw): -142 kJ/mol of formula units

The structure in POSCAR format:
```
LaCoTe2
1.0
-0.996 -1.946 3.206
-2.228 -1.190 -2.946
5.093 -5.376 -1.681
Co La Te
1 1 2
Cartesian
-0.339 -2.912 -0.290 Co
2.208 -5.600 -1.131 La
0.159 -0.168 -0.053 Te
2.387 -2.520 -0.788 Te
```